Density functional theory data (PBE) for an optimized crystal structure of RbCa2VCl8.

Lattice parameters (Å, degrees): 6.423 6.205 8.636 89.94 89.97 88.71
Last column: magnetic moment on the atom in μB.
Element x y z (fractional)
1 Cl 0.161 0.777 0.192  -0.01
2 Ca 0.500 0.500 0.245  0.00
3 Cl 0.390 0.270 0.500  0.00
4 Cl 0.162 0.777 0.808  -0.01
5 Cl 0.696 0.754 0.000  -0.02
6 Ca 0.500 0.500 0.755  0.00
7 Cl 0.610 0.730 0.500  0.00
8 Cl 0.839 0.223 0.808  -0.01
9 Cl 0.838 0.223 0.192  -0.01
10 Cl 0.304 0.246 0.000  -0.02
11 Rb 0.000 0.000 0.500  0.00
12 V 0.000 0.000 0.000  1.88

Computed properties:
N(E_F) in states/eV/cell: 9.2
Total energy in eV/atom: -4.26